Entry 1:
Entry from OQMD: an optimized crystal structure of Ba3Al2Cu2F16 (GGA-PBE).

Calculated values
**E_tot**: -245.508 eV for the cell shown
**Volume**: 12.898 Å³/atom

a b c (Å): 7.2400 5.2472 15.7139
angles (deg): 90.00 96.34 90.00
Fractional positions:
Al 0.5820 0.8195 0.1592
Al 0.8255 0.7669 0.4754
Al 0.1745 0.2669 0.5246
Al 0.4180 0.3195 0.8408
Ba 0.7487 0.3061 0.0287
Ba 0.8138 0.2600 0.3186
Ba 0.3315 0.7445 0.3859
Ba 0.6685 0.2445 0.6141
Ba 0.1862 0.7600 0.6814
Ba 0.2513 0.8061 0.9713
Cu 0.0558 0.8112 0.1703
Cu 0.2885 0.2869 0.1964
Cu 0.7115 0.7869 0.8036
Cu 0.9442 0.3112 0.8297
F 0.6110 0.7954 0.0440
F 0.9982 0.6505 0.0648
F 0.1089 0.1294 0.1099
F 0.4672 0.1272 0.1284
F 0.3637 0.6598 0.1357
F 0.7922 0.0122 0.1720
F 0.7154 0.5370 0.1803
F 0.0966 0.5055 0.2370
F 0.5522 0.8743 0.2689
F 0.1271 0.9998 0.2702
F 0.4535 0.3681 0.2953
F 0.8981 0.7552 0.3703
F 0.2003 0.2737 0.4134
F 0.6388 0.9845 0.4477
F 0.6775 0.4976 0.4560
F 0.9695 0.0623 0.4930
F 0.0305 0.5623 0.5070
F 0.3225 0.9976 0.5440
F 0.3612 0.4845 0.5523
F 0.7997 0.7737 0.5866
F 0.1019 0.2552 0.6297
F 0.5465 0.8681 0.7047
F 0.8729 0.4998 0.7298
F 0.4478 0.3743 0.7311
F 0.9034 0.0055 0.7630
F 0.2846 0.0370 0.8197
F 0.2078 0.5122 0.8280
F 0.6363 0.1598 0.8643
F 0.5328 0.6272 0.8716
F 0.8911 0.6294 0.8901
F 0.0018 0.1505 0.9352
F 0.3890 0.2954 0.9560

***

Entry 2:
Entry from OQMD: an optimized crystal structure of BaAl2GaCu2 (GGA-PBE).

Calculated values
**E_tot**: -43.257 eV for the cell shown
**Volume**: 19.350 Å³/atom

a b c (Å): 6.8206 6.8206 5.1895
angles (deg): 90.00 90.00 74.11
Fractional positions:
Al 0.5295 0.0679 0.2500
Al 0.9321 0.4705 0.2500
Al 0.0679 0.5295 0.7500
Al 0.4705 0.9321 0.7500
Ba 0.3440 0.6560 0.2500
Ba 0.6560 0.3440 0.7500
Cu 0.2029 0.2029 0.0000
Cu 0.7971 0.7971 0.0000
Cu 0.2029 0.2029 0.5000
Cu 0.7971 0.7971 0.5000
Ga 0.9229 0.0771 0.2500
Ga 0.0771 0.9229 0.7500

***

Entry 3:
Entry from OQMD: an optimized crystal structure of BaAl5CuIr (GGA-PBE).

Calculated values
**E_tot**: -37.021 eV for the cell shown
**Volume**: 19.470 Å³/atom

a b c (Å): 6.6413 6.6413 6.6413
angles (deg): 143.57 113.51 78.26
Fractional positions:
Al 0.5222 0.3357 0.1865
Al 0.8487 0.6590 0.1897
Al 0.5064 0.0064 0.5000
Al 0.4692 0.6590 0.8103
Al 0.1492 0.3357 0.8135
Ba 0.9952 0.9952 0.0000
Cu 0.7356 0.2356 0.5000
Ir 0.2734 0.7734 0.5000

***

Entry 4:
Entry from OQMD: an optimized crystal structure of BaMgAl4Cu2 (GGA-PBE).

Calculated values
**E_tot**: -20.615 eV for the cell shown
**Volume**: 29.228 Å³/atom

a b c (Å): 7.0114 11.5748 11.5748
angles (deg): 14.41 90.00 90.00
Fractional positions:
Al 0.1904 0.3617 0.3617
Al 0.8096 0.3617 0.3617
Al 0.1780 0.6466 0.6466
Al 0.8220 0.6466 0.6466
Ba 0.5000 0.5442 0.5442
Cu 0.5000 0.3086 0.3086
Cu 0.5000 0.4144 0.4144
Mg 0.5000 0.7162 0.7162

***

Repeat the first record exactly.
Entry from OQMD: an optimized crystal structure of Ba3Al2Cu2F16 (GGA-PBE).

Calculated values
**E_tot**: -245.508 eV for the cell shown
**Volume**: 12.898 Å³/atom

a b c (Å): 7.2400 5.2472 15.7139
angles (deg): 90.00 96.34 90.00
Fractional positions:
Al 0.5820 0.8195 0.1592
Al 0.8255 0.7669 0.4754
Al 0.1745 0.2669 0.5246
Al 0.4180 0.3195 0.8408
Ba 0.7487 0.3061 0.0287
Ba 0.8138 0.2600 0.3186
Ba 0.3315 0.7445 0.3859
Ba 0.6685 0.2445 0.6141
Ba 0.1862 0.7600 0.6814
Ba 0.2513 0.8061 0.9713
Cu 0.0558 0.8112 0.1703
Cu 0.2885 0.2869 0.1964
Cu 0.7115 0.7869 0.8036
Cu 0.9442 0.3112 0.8297
F 0.6110 0.7954 0.0440
F 0.9982 0.6505 0.0648
F 0.1089 0.1294 0.1099
F 0.4672 0.1272 0.1284
F 0.3637 0.6598 0.1357
F 0.7922 0.0122 0.1720
F 0.7154 0.5370 0.1803
F 0.0966 0.5055 0.2370
F 0.5522 0.8743 0.2689
F 0.1271 0.9998 0.2702
F 0.4535 0.3681 0.2953
F 0.8981 0.7552 0.3703
F 0.2003 0.2737 0.4134
F 0.6388 0.9845 0.4477
F 0.6775 0.4976 0.4560
F 0.9695 0.0623 0.4930
F 0.0305 0.5623 0.5070
F 0.3225 0.9976 0.5440
F 0.3612 0.4845 0.5523
F 0.7997 0.7737 0.5866
F 0.1019 0.2552 0.6297
F 0.5465 0.8681 0.7047
F 0.8729 0.4998 0.7298
F 0.4478 0.3743 0.7311
F 0.9034 0.0055 0.7630
F 0.2846 0.0370 0.8197
F 0.2078 0.5122 0.8280
F 0.6363 0.1598 0.8643
F 0.5328 0.6272 0.8716
F 0.8911 0.6294 0.8901
F 0.0018 0.1505 0.9352
F 0.3890 0.2954 0.9560

***

Which formula does entry 2 have? BaAl2GaCu2